## one
A geometry-optimized CaIn3Co structure, computed with PBE.

Cell lengths 4.963, 4.963, 4.963 Å; angles 90.00, 90.00, 90.00 degrees
Positions (direct):
Co 0.000 0.000 0.000
In 0.000 0.000 0.500
In 0.500 0.000 0.000
In 0.000 0.500 0.000
Ca 0.500 0.500 0.500

Properties
Space-group type: Pm-3m (221)
Total moment, μB/f.u.: 0.00
N(E_F), states/eV per cell: 3.38
Calculated volume, Å³ per cell: 122

## two
A geometry-optimized CaIn3Co structure, computed with PBE.

Cell lengths 5.831, 5.831, 5.831 Å; angles 90.00, 90.00, 90.00 degrees
Site moments in Bohr magnetons follow the coordinates.
Positions (direct):
Ca 0.000 0.000 0.000  -0.01
In 0.000 0.000 0.500  0.00
In 0.500 0.000 0.000  -0.02
In 0.000 0.500 0.000  0.00
Co 0.500 0.500 0.500  2.20

Properties
Space-group type: Pm-3m (221)
Total moment, μB/f.u.: 2.25
N(E_F), states/eV per cell: 4.60
Calculated volume, Å³ per cell: 198

Result of the stability comparison: one is the most stable of them.

## one
A geometry-optimized K2CaCo structure, computed with PBE.

Cell lengths 7.152, 7.152, 7.152 Å; angles 140.13, 140.13, 57.65 degrees
Site moments in Bohr magnetons follow the coordinates.
Positions (direct):
K 0.000 0.000 0.000  -0.01
K 0.500 0.500 0.000  -0.01
Ca 0.250 0.750 0.500  -0.05
Co 0.750 0.250 0.500  1.86

Properties
Space-group type: I4/mmm (139)
Total moment, μB/f.u.: 1.59
N(E_F), states/eV per cell: 3.36
Calculated volume, Å³ per cell: 149

## two
A geometry-optimized K2CaCo structure, computed with PBE.

Cell lengths 7.730, 7.730, 7.730 Å; angles 150.90, 130.96, 58.04 degrees
Site moments in Bohr magnetons follow the coordinates.
Positions (direct):
K 0.255 0.755 0.500  -0.01
K 0.933 0.933 0.000  0.00
Co 0.729 0.229 0.500  1.60
Ca 0.582 0.582 0.000  -0.09

Properties
Space-group type: Imm2 (44)
Total moment, μB/f.u.: 1.34
N(E_F), states/eV per cell: 5.85
Calculated volume, Å³ per cell: 168

## three
A geometry-optimized K2CaCo structure, computed with PBE.

Cell lengths 3.904, 3.904, 11.093 Å; angles 90.00, 90.00, 92.53 degrees
Site moments in Bohr magnetons follow the coordinates.
Positions (direct):
K 0.000 0.000 0.938  -0.01
K 0.000 0.000 0.562  -0.01
Ca 0.500 0.500 0.250  0.01
Co 0.500 0.500 0.750  2.02

Properties
Space-group type: Cmmm (65)
Total moment, μB/f.u.: 2.07
N(E_F), states/eV per cell: 4.57
Calculated volume, Å³ per cell: 169

## four
A geometry-optimized K2CaCo structure, computed with PBE.

Cell lengths 6.746, 6.746, 4.127 Å; angles 90.00, 90.00, 119.74 degrees
Site moments in Bohr magnetons follow the coordinates.
Positions (direct):
Co 0.000 0.500 0.500  1.98
Ca 0.500 0.000 0.500  -0.03
K 0.500 0.500 0.000  -0.01
K 0.000 0.000 0.000  -0.01

Properties
Space-group type: Cmmm (65)
Total moment, μB/f.u.: 1.79
N(E_F), states/eV per cell: 3.56
Calculated volume, Å³ per cell: 163

Result of the stability comparison: two is the most stable of them.